The following is a DFT calculation (GGA-PBE) of an optimized crystal structure of Sb3C.

Structure (POSCAR):
```
Sb3C
1.0
-2.897 0.295 -1.589
-1.319 -5.146 1.450
-2.682 -0.843 4.732
Sb C
3 1
direct
0.500 0.821 0.821
0.000 0.500 0.500
0.500 0.179 0.179
0.000 0.000 0.000
```

calculated volume	87.85	Å³/cell
space group	No. 65
energy above the most stable polymorph in this dataset	0.68	eV/f.u.
total energy	-4.47	eV per atom